Below is a relaxed structure of Nb2TcPt, with properties calculated at the PBE level.

a = 6.450 Å, b = 6.450 Å, c = 6.450 Å
α = 90.00°, β = 90.00°, γ = 90.00°
Space group Fm-3m (No. 225)
Symmetry-distinct sites (fractional):
Nb 0.250 0.250 0.250
Tc 0.000 0.000 0.000
Pt 0.000 0.000 0.500

total moment	0.0	μB/f.u.
energy above the most stable polymorph in this dataset	116	meV per atom
energy relative to the elements	-90	kJ/mol of formula units
volume	16.77	A^3/atom

Below is a relaxed structure of ZnCo2B, with properties calculated at the PBE level.

a = 9.810 Å, b = 2.685 Å, c = 6.084 Å
α = 90.00°, β = 93.88°, γ = 90.00°
Space group C2/m (No. 12)
Symmetry-distinct sites (fractional):
Zn 0.130 0.000 0.476
Co 0.035 0.500 0.802
Co 0.231 0.500 0.163
B 0.092 0.000 0.047

total moment	0.8	μB/f.u.
energy above the most stable polymorph in this dataset	0	meV per atom
energy relative to the elements	-78	kJ/mol of formula units
volume	9.99	A^3/atom

Below is a relaxed structure of K2Sn2Hg15, with properties calculated at the PBE level.

a = 10.4910 Å, b = 10.4910 Å, c = 17.2459 Å
α = 90.00°, β = 90.00°, γ = 120.00°
Space group R-3m (No. 166, hexagonal axes)
Symmetry-distinct sites (fractional):
K 0.0000 0.0000 0.1791
Sn 0.0000 0.0000 0.4090
Hg 0.0000 0.2991 0.5000
Hg 0.0000 0.5000 0.0000
Hg 0.0276 0.5138 0.6342

total moment	0.0	μB/f.u.
energy relative to the elements	-120	kJ/mol of formula units
volume	28.84	A^3/atom

Below is a relaxed structure of PmCu9Ge2, with properties calculated at the PBE level.

a = 5.0681 Å, b = 5.0681 Å, c = 23.6513 Å
α = 90.00°, β = 90.00°, γ = 120.00°
Space group R-3m (No. 166, hexagonal axes)
Symmetry-distinct sites (fractional):
Pm 0.0000 0.0000 0.0000
Cu 0.0000 0.0000 0.3347
Cu 0.0000 0.0000 0.5000
Cu 0.0066 0.5033 0.9135
Ge 0.0000 0.0000 0.1455

total moment	0.0	μB/f.u.
energy relative to the elements	-60	kJ/mol of formula units
volume	14.61	A^3/atom

Below is a relaxed structure of Y4ErTl2, with properties calculated at the PBE level.

a = 5.3026 Å, b = 5.3026 Å, c = 28.4416 Å
α = 90.00°, β = 90.00°, γ = 120.00°
Space group R-3m (No. 166, hexagonal axes)
Symmetry-distinct sites (fractional):
Y 0.0000 0.0000 0.1214
Y 0.0000 0.0000 0.2847
Er 0.0000 0.0000 0.5000
Tl 0.0000 0.0000 0.3952

total moment	0.0	μB/f.u.
energy relative to the elements	32	kJ/mol of formula units
volume	32.98	A^3/atom

Below is a relaxed structure of NaMg4Pd5, with properties calculated at the PBE level.

a = 3.054 Å, b = 3.054 Å, c = 17.930 Å
α = 90.00°, β = 90.00°, γ = 90.00°
Space group P4/mmm (No. 123)
Symmetry-distinct sites (fractional):
Na 0.000 0.000 0.000
Mg 0.000 0.000 0.210
Mg 0.000 0.000 0.403
Pd 0.500 0.500 0.121
Pd 0.500 0.500 0.308
Pd 0.500 0.500 0.500

total moment	0.0	μB/f.u.
energy relative to the elements	-582	kJ/mol of formula units
volume	16.72	A^3/atom

Below is a relaxed structure of Tl2ZnMo, with properties calculated at the PBE level.

a = 3.673 Å, b = 4.258 Å, c = 5.702 Å
α = 90.00°, β = 108.60°, γ = 90.00°
Space group Pm (No. 6)
Symmetry-distinct sites (fractional):
Tl 0.000 0.000 0.000
Tl 0.296 0.500 0.598
Zn 0.582 0.500 0.166
Mo 0.727 0.000 0.456

total moment	0.0	μB/f.u.
energy above the most stable polymorph in this dataset	86	meV per atom
energy relative to the elements	216	kJ/mol of formula units
volume	21.13	A^3/atom

Below is a relaxed structure of GeBi3S6, with properties calculated at the PBE level.

a = 11.094 Å, b = 14.003 Å, c = 6.683 Å
α = 90.00°, β = 90.00°, γ = 90.00°
Space group Cmc2_1 (No. 36)
Symmetry-distinct sites (fractional):
Ge 0.000 0.199 0.000
Bi 0.000 0.400 0.381
Bi 0.190 0.099 0.459
S 0.000 0.047 0.121
S 0.000 0.218 0.666
S 0.160 0.477 0.674
S 0.163 0.266 0.158

formation energy (no corrections)	-0.2637	eV/atom
total moment	0.0	μB/f.u.
volume	25.95	A^3/atom

Below is a relaxed structure of Ti3InHg, with properties calculated at the PBE level.

a = 5.000 Å, b = 5.000 Å, c = 5.000 Å
α = 90.00°, β = 90.00°, γ = 90.00°
Space group Pm-3m (No. 221)
Symmetry-distinct sites (fractional):
Ti 0.000 0.000 0.500
In 0.000 0.000 0.000
Hg 0.500 0.500 0.500

total moment	0.0	μB/f.u.
energy above the most stable polymorph in this dataset	908	meV per atom
energy relative to the elements	519	kJ/mol of formula units
volume	25.00	A^3/atom

Below is a relaxed structure of TlPdI2N, with properties calculated at the PBE level.

a = 6.098 Å, b = 6.098 Å, c = 4.322 Å
α = 90.00°, β = 90.00°, γ = 90.00°
Space group P4/mmm (No. 123)
Symmetry-distinct sites (fractional):
Tl 0.000 0.000 0.000
Pd 0.500 0.500 0.500
I 0.000 0.500 0.000
N 0.000 0.000 0.500

formation energy (no corrections)	1.1378	eV/atom
total moment	2.3	μB/f.u.
energy above the most stable polymorph in this dataset	811	meV per atom
volume	32.14	A^3/atom

Below is a relaxed structure of LiTm2Co, with properties calculated at the PBE level.

a = 6.768 Å, b = 6.768 Å, c = 6.768 Å
α = 90.00°, β = 90.00°, γ = 90.00°
Space group Fm-3m (No. 225)
Symmetry-distinct sites (fractional):
Li 0.000 0.000 0.000
Tm 0.250 0.250 0.250
Co 0.000 0.000 0.500

total moment	0.0	μB/f.u.
energy above the most stable polymorph in this dataset	0	meV per atom
energy relative to the elements	-46	kJ/mol of formula units
volume	19.37	A^3/atom

Below is a relaxed structure of ErPu4As5, with properties calculated at the PBE level.

a = 9.222 Å, b = 9.222 Å, c = 5.834 Å
α = 90.00°, β = 90.00°, γ = 90.00°
Space group I4/m (No. 87)
Symmetry-distinct sites (fractional):
Er 0.000 0.000 0.000
Pu 0.100 0.299 0.500
As 0.000 0.000 0.500
As 0.100 0.300 0.000

total moment	19.9	μB/f.u.
energy relative to the elements	-1079	kJ/mol of formula units
volume	24.81	A^3/atom

Below is a relaxed structure of Pm12Hg6Ru, with properties calculated at the PBE level.

a = 12.3171 Å, b = 12.3171 Å, c = 13.5094 Å
α = 90.00°, β = 90.00°, γ = 120.00°
Space group R-3 (No. 148, hexagonal axes)
Symmetry-distinct sites (fractional):
Pm 0.0368 0.1894 0.3889
Pm 0.0384 0.8461 0.8770
Hg 0.0062 0.4005 0.2569
Ru 0.0000 0.0000 0.0000

total moment	0.0	μB/f.u.
energy relative to the elements	-428	kJ/mol of formula units
volume	31.14	A^3/atom

Below is a relaxed structure of TlSnHgPb3, with properties calculated at the PBE level.

a = 6.952 Å, b = 4.948 Å, c = 10.369 Å
α = 90.00°, β = 91.14°, γ = 90.00°
Space group P2_1/m (No. 11)
Symmetry-distinct sites (fractional):
Tl 0.105 0.250 0.239
Sn 0.376 0.750 0.416
Hg 0.133 0.250 0.912
Pb 0.134 0.250 0.579
Pb 0.361 0.750 0.079
Pb 0.393 0.750 0.745

total moment	0.0	μB/f.u.
energy relative to the elements	8	kJ/mol of formula units
volume	29.72	A^3/atom

Below is a relaxed structure of In2CuTc, with properties calculated at the PBE level.

a = 3.0693 Å, b = 3.0693 Å, c = 26.4426 Å
α = 90.00°, β = 90.00°, γ = 120.00°
Space group R-3m (No. 166, hexagonal axes)
Symmetry-distinct sites (fractional):
In 0.0000 0.0000 0.2503
Cu 0.0000 0.0000 0.0000
Tc 0.0000 0.0000 0.5000

total moment	0.0	μB/f.u.
energy above the most stable polymorph in this dataset	157	meV per atom
energy relative to the elements	133	kJ/mol of formula units
volume	17.98	A^3/atom

Below is a relaxed structure of Ca2AgIrC, with properties calculated at the PBE level.

a = 5.170 Å, b = 5.170 Å, c = 3.857 Å
α = 90.00°, β = 90.00°, γ = 90.00°
Space group P4/mmm (No. 123)
Symmetry-distinct sites (fractional):
Ca 0.000 0.500 0.000
Ag 0.000 0.000 0.500
Ir 0.500 0.500 0.500
C 0.500 0.500 0.000

total moment	0.0	μB/f.u.
energy relative to the elements	-139	kJ/mol of formula units
volume	20.62	A^3/atom

Below is a relaxed structure of TeBrCl2, with properties calculated at the PBE level.

a = 4.547 Å, b = 4.547 Å, c = 4.465 Å
α = 90.00°, β = 90.00°, γ = 90.00°
Space group P4/mmm (No. 123)
Symmetry-distinct sites (fractional):
Te 0.000 0.000 0.000
Br 0.500 0.500 0.000
Cl 0.000 0.500 0.500

formation energy (no corrections)	0.3243	eV/atom
total moment	0.0	μB/f.u.
energy above the most stable polymorph in this dataset	727	meV per atom
volume	23.07	A^3/atom

Below is a relaxed structure of Ta3Ti2, with properties calculated at the PBE level.

a = 9.748 Å, b = 25.767 Å, c = 2.871 Å
α = 90.00°, β = 90.00°, γ = 90.00°
Space group Fdd2 (No. 43)
Symmetry-distinct sites (fractional):
Ta 0.000 0.000 0.000
Ta 0.001 0.400 0.001
Ti 0.000 0.199 0.002

total moment	0.0	μB/f.u.
energy relative to the elements	63	kJ/mol of formula units
volume	18.03	A^3/atom

Below is a relaxed structure of AcU6S12, with properties calculated at the PBE level.

a = 13.1965 Å, b = 13.1965 Å, c = 8.5058 Å
α = 90.00°, β = 90.00°, γ = 120.00°
Space group R-3m (No. 166, hexagonal axes)
Symmetry-distinct sites (fractional):
Ac 0.0000 0.0000 0.0000
U 0.0487 0.5244 0.2554
S 0.0000 0.3765 0.5000
S 0.0861 0.1722 0.3074

formation energy (no corrections)	-1.2424	eV/atom
total moment	14.9	μB/f.u.
volume	22.51	A^3/atom

Below is a relaxed structure of Mn2HOsRh, with properties calculated at the PBE level.

a = 3.772 Å, b = 3.772 Å, c = 3.709 Å
α = 90.00°, β = 90.00°, γ = 90.00°
Space group P4/mmm (No. 123)
Symmetry-distinct sites (fractional):
Mn 0.000 0.500 0.000
H 0.000 0.000 0.000
Os 0.500 0.500 0.500
Rh 0.000 0.000 0.500

total moment	1.7	μB/f.u.
energy above the most stable polymorph in this dataset	0	meV per atom
volume	10.56	A^3/atom

Below is a relaxed structure of LaCo4P4, with properties calculated at the PBE level.

a = 7.652 Å, b = 7.652 Å, c = 4.365 Å
α = 90.00°, β = 90.00°, γ = 90.00°
Space group I4/m (No. 87)
Symmetry-distinct sites (fractional):
La 0.000 0.000 0.000
Co 0.118 0.381 0.000
P 0.157 0.306 0.500

total moment	0.0	μB/f.u.
energy relative to the elements	-595	kJ/mol of formula units
volume	14.20	A^3/atom

Below is a relaxed structure of HfAg3As, with properties calculated at the PBE level.

a = 4.849 Å, b = 4.849 Å, c = 4.849 Å
α = 90.00°, β = 90.00°, γ = 90.00°
Space group Pm-3m (No. 221)
Symmetry-distinct sites (fractional):
Hf 0.000 0.000 0.000
Ag 0.000 0.500 0.500
As 0.500 0.500 0.500

total moment	0.0	μB/f.u.
energy above the most stable polymorph in this dataset	0	meV per atom
energy relative to the elements	377	kJ/mol of formula units
volume	22.80	A^3/atom

Below is a relaxed structure of La5Tl6Cd, with properties calculated at the PBE level.

a = 17.957 Å, b = 7.993 Å, c = 5.457 Å
α = 90.00°, β = 107.56°, γ = 90.00°
Space group C2/m (No. 12)
Symmetry-distinct sites (fractional):
La 0.000 0.000 0.000
La 0.140 0.500 0.639
La 0.180 0.000 0.678
Tl 0.000 0.228 0.500
Tl 0.166 0.244 0.163
Cd 0.000 0.500 0.000

total moment	0.0	μB/f.u.
energy relative to the elements	-424	kJ/mol of formula units
volume	31.11	A^3/atom